Entry from the Alexandria database: a relaxed structure of Sm4Mg5Tc2 (PBE).

Summary:
Calculated formation energy (kJ per mole of atoms): 1
DOS(E_F) (states/eV/f.u.): 8.40
Size of the total moment (μB per cell): 0.00

abc: 7.696 4.182 9.197
angles: 90.00 96.90 90.00
Fractional coordinates of all 11 atoms:
Sm 0.187 0.000 0.329
Sm 0.222 0.000 0.925
Sm 0.778 0.000 0.075
Sm 0.813 0.000 0.671
Mg 0.156 0.500 0.633
Mg 0.440 0.500 0.163
Mg 0.500 0.500 0.500
Mg 0.560 0.500 0.837
Mg 0.844 0.500 0.367
Tc 0.047 0.500 0.130
Tc 0.953 0.500 0.870